Computed, not measured: SmMnAlGe2 after structural relaxation at the PBE level of DFT.

Geometry as POSCAR:
```
SmMnAlGe2
1.0
4.0208 0.0000 0.0000
0.0000 4.0208 0.0000
0.0000 0.0000 11.3905
Sm Mn Al Ge
2 2 2 4
direct
0.0000 0.0000 0.0000
0.5000 0.5000 0.5000
0.0000 0.5000 0.7500
0.5000 0.0000 0.2500
0.0000 0.5000 0.2500
0.5000 0.0000 0.7500
0.0000 0.0000 0.3865
0.0000 0.0000 0.6135
0.5000 0.5000 0.1135
0.5000 0.5000 0.8865
```

Output
Spin magnetization (μB per formula unit): 2.73
Formation energy from the elements (kJ/mol of formula units): -218
Space-group type: I-4m2
Electronic total energy (eV/atom): -5.82

***

Computed, not measured: RhSe2Br after structural relaxation at the PBE level of DFT.

Geometry as POSCAR:
```
RhSe2Br
1.0
6.5033 0.0000 0.0000
0.0000 3.7517 0.0000
-0.0415 0.0000 8.0252
Rh Se Br
2 4 2
direct
0.0000 0.0000 0.0000
0.5000 0.5000 0.0000
0.1632 0.5000 0.5740
0.1657 0.5000 0.8522
0.6632 0.0000 0.5740
0.6657 0.0000 0.8522
0.3346 0.0000 0.1939
0.8346 0.5000 0.1939
```

Output
Spin magnetization (μB per formula unit): 0.00
Energy relative to the elements, uncorrected (eV/f.u.): -0.46
Space-group type: Cm
Electronic total energy (eV/atom): -4.11

***

Computed, not measured: NiHgTe2 after structural relaxation at the PBE level of DFT.

Geometry as POSCAR:
```
NiHgTe2
1.0
6.0883 0.0000 0.0000
0.0000 8.0989 0.0000
-3.0297 0.0000 4.0536
Ni Hg Te
2 2 4
direct
0.0000 0.0000 0.0000
0.5000 0.5000 0.0000
0.0000 0.5000 0.0000
0.5000 0.0000 0.0000
0.2500 0.2500 0.5000
0.2500 0.7500 0.5000
0.7500 0.2500 0.5000
0.7500 0.7500 0.5000
```

Output
Spin magnetization (μB per formula unit): 0.00
Energy relative to the elements, uncorrected (eV/f.u.): 1.08
Space-group type: C2/m
Electronic total energy (eV/atom): -2.82

***

Computed, not measured: NaLa2Sn after structural relaxation at the PBE level of DFT.

Geometry as POSCAR:
```
NaLa2Sn
1.0
5.2150 0.0000 0.0000
0.0000 5.2150 0.0000
0.0000 0.0000 4.6037
Na La Sn
1 2 1
direct
0.0000 0.0000 0.0000
0.0000 0.5000 0.5000
0.5000 0.0000 0.5000
0.5000 0.5000 0.0000
```

Output
Spin magnetization (μB per formula unit): 0.00
Formation energy from the elements (kJ/mol of formula units): -135
Space-group type: P4/mmm
Electronic total energy (eV/atom): -4.14